Entry 1:
Computed, not measured: a geometry-optimized SbPtPb2 structure at the PBE-GGA level of DFT.

- DOS at the Fermi energy: 2.0 states/eV/f.u.
- Total DFT energy (no corrections): -4.382 eV/atom
- Formation energy (no corrections): 0.01 eV/atom
- Magnetization: 0.0 μB/f.u.

Cell lengths 8.694, 8.694, 8.694 Å; angles 25.72, 25.72, 25.72 degrees
Fractional coordinates of all 4 atoms:
Pb (0.986, 0.986, 0.986)
Pb (0.514, 0.514, 0.514)
Pt (0.250, 0.250, 0.250)
Sb (0.750, 0.750, 0.750)

Entry 2:
Computed, not measured: a geometry-optimized LaDy5Tm4 structure at the PBE-GGA level of DFT.

- DOS at the Fermi energy: 13.3 states/eV/f.u.
- Excess energy over the best structure of this formula in the dataset: 0 kJ/mol of formula units
- Total DFT energy (no corrections): -4.393 eV/atom
- Calculated formation energy: 0.19 eV/atom
- Magnetization: 0.0 μB/f.u.

Cell lengths 3.534, 10.811, 8.765 Å; angles 90.16, 101.66, 90.00 degrees
Fractional coordinates of all 10 atoms:
La (0.500, 0.000, 0.000)
Dy (0.174, 0.552, 0.347)
Dy (0.175, 0.944, 0.350)
Dy (0.825, 0.056, 0.650)
Dy (0.500, 0.500, 0.000)
Dy (0.826, 0.448, 0.653)
Tm (0.651, 0.250, 0.301)
Tm (0.975, 0.253, 0.950)
Tm (0.349, 0.750, 0.699)
Tm (0.025, 0.747, 0.050)

Entry 3:
Computed, not measured: a geometry-optimized CdFeSeBr2 structure at the PBE-GGA level of DFT.

- DOS at the Fermi energy: 5.5 states/eV/f.u.
- Excess energy over the best structure of this formula in the dataset: 192 kJ/mol of formula units
- Total DFT energy (no corrections): -2.749 eV/atom
- Formation energy (no corrections): 0.49 eV/atom
- Magnetization: 4.0 μB/f.u.

Cell lengths 5.332, 5.332, 5.418 Å; angles 90.00, 90.00, 90.00 degrees
Last column: magnetic moment on the atom in μB.
Fractional coordinates of all 5 atoms:
Fe (0.500, 0.500, 0.500)  3.41
Se (0.000, 0.000, 0.500)  0.12
Br (0.000, 0.500, 0.000)  0.05
Br (0.500, 0.000, 0.000)  0.05
Cd (0.000, 0.000, 0.000)  0.00